A.
The following is a GGA-PBE calculation of a geometry-optimized Ho2GaS structure, from the Alexandria database.

Space-group type: Cmcm (63)
Magnetization, μB per formula unit: 0.000
ρ, g/cm3: 8.1

abc: 3.938 4.126 11.094
angles: 100.72 90.00 90.00
Sites, in units of the cell vectors:
Ho 0.750 0.683 0.366
Ho 0.250 0.317 0.634
Ho 0.750 0.931 0.862
Ho 0.250 0.069 0.138
Ga 0.250 0.460 0.919
Ga 0.750 0.540 0.081
S 0.250 0.193 0.385
S 0.750 0.807 0.615

=====

B.
The following is a GGA-PBE calculation of a geometry-optimized Ho2GaS structure, from the Alexandria database.

Space-group type: R-3m (166)
Magnetization, μB per formula unit: 0.000
ρ, g/cm3: 6.7

abc: 3.649 3.649 9.458
angles: 78.88 78.88 60.00
Sites, in units of the cell vectors:
S 0.500 0.500 0.500
Ho 0.107 0.107 0.679
Ho 0.893 0.893 0.321
Ga 0.000 0.000 0.000

=====

Most stable one: A, least stable one: B.